Record 1
A plane-wave DFT calculation with PBE was carried out for crystalline Zr2SbAs at its relaxed geometry.

**Formation energy from raw total energies**: -3.2 eV per formula unit
**Total DFT energy (no corrections)**: -29.05 eV per cell
**Crystal system**: tetragonal
**Magnetization**: 0.0 μB/cell
**Calculated volume**: 22.50 A^3/atom

Cell lengths 3.859, 3.859, 6.043 Å; angles 90.00, 90.00, 90.00 degrees
Space group P4mm (No. 99)
Inequivalent atoms, fractional coordinates:
Zr (0.000, 0.000, 0.000) x1
Zr (0.500, 0.500, 0.347) x1
Sb (0.500, 0.500, 0.848) x1
As (0.000, 0.000, 0.459) x1

Record 2
A plane-wave DFT calculation with PBE was carried out for crystalline GdTl2Ga at its relaxed geometry.

**Calculated formation energy**: 0.148 eV per atom
**Total DFT energy (no corrections)**: -63.75 eV per cell
**Crystal system**: trigonal
**Magnetization**: 22.0 μB/cell
**Energy above the most stable polymorph in this dataset**: 0.449 eV per atom
**Calculated volume**: 29.15 A^3/atom

Cell lengths 3.4731, 3.4731, 33.4855 Å; angles 90.00, 90.00, 120.00 degrees
Space group R-3m (No. 166, hexagonal axes)
Inequivalent atoms, fractional coordinates:
Gd (0.0000, 0.0000, 0.0000) x3
Tl (0.0000, 0.0000, 0.0943) x6
Ga (0.0000, 0.0000, 0.5000) x3

Record 3
A plane-wave DFT calculation with PBE was carried out for crystalline La6BiTe3P2 at its relaxed geometry.

**Formation energy from raw total energies**: -18.5 eV per formula unit
**Total DFT energy (no corrections)**: -144.35 eV per cell
**Crystal system**: monoclinic
**Magnetization**: 0.0 μB/cell
**Calculated volume**: 32.33 A^3/atom

Cell lengths 19.735, 4.455, 9.107 Å; angles 90.00, 104.31, 90.00 degrees
Space group C2/m (No. 12)
Inequivalent atoms, fractional coordinates:
La (0.014, 0.000, 0.259) x4
La (0.171, 0.500, 0.115) x4
La (0.175, 0.500, 0.566) x4
Bi (0.000, 0.500, 0.000) x2
Te (0.000, 0.500, 0.500) x2
Te (0.161, 0.000, 0.833) x4
P (0.169, 0.000, 0.337) x4

Record 4
A plane-wave DFT calculation with PBE was carried out for crystalline Hg2PBr at its relaxed geometry.

**Formation energy from raw total energies**: 0.3 eV per formula unit
**Total DFT energy (no corrections)**: -22.09 eV per cell
**Crystal system**: trigonal
**Magnetization**: 0.0 μB/cell
**Energy above the most stable polymorph in this dataset**: 0.275 eV per atom
**Calculated volume**: 24.94 A^3/atom

Cell lengths 4.0719, 4.0719, 20.8403 Å; angles 90.00, 90.00, 120.00 degrees
Space group R-3m (No. 166, hexagonal axes)
Inequivalent atoms, fractional coordinates:
Hg (0.0000, 0.0000, 0.2328) x6
P (0.0000, 0.0000, 0.5000) x3
Br (0.0000, 0.0000, 0.0000) x3

Question: Which formula does entry 4 have?
Answer: Hg2PBr